CoGe2IrO6 after structural relaxation. Source: OQMD, functional GGA+U.

Cell lengths 5.4762, 5.4762, 4.8616 Å; angles 111.75, 111.75, 56.94 degrees
Last column: nearest neighbours and their distance in Å.
Element x y z (fractional)
1 Co 0.0000 0.0000 0.0000  4 O 2.01
2 Ge 0.2590 0.2590 0.8387  1 O 1.74
3 Ge 0.7410 0.7410 0.1613  1 O 1.74
4 Ir 0.5000 0.5000 0.5000  6 O 2.04-2.07
5 O 0.1446 0.6375 0.1502  2 Ge 1.98-1.99, 1 Co 2.01, 1 Ir 2.04
6 O 0.2869 0.2869 0.5074  1 Ge 1.74
7 O 0.3625 0.8554 0.8498  2 Ge 1.98-1.99, 1 Co 2.01, 1 Ir 2.04
8 O 0.6375 0.1446 0.1502  2 Ge 1.98-1.99, 1 Co 2.01, 1 Ir 2.04
9 O 0.7131 0.7131 0.4926  1 Ge 1.74
10 O 0.8554 0.3625 0.8498  2 Ge 1.98-1.99, 1 Co 2.01, 1 Ir 2.04

Properties
As for the calculated volume: 11.08 Å³/atom. As for the crystal system: monoclinic. As for the total energy: -6.2307 eV per atom. As for the symmetry: C2/m (12).